Entry 1:
Entry from Alexandria via LeMat-Bulk: a relaxed NdSmAs2Rh5 crystal (PBE).

abc: 4.2806 4.2806 8.9151
angles: 90.00 90.00 90.00
Space group P4/mmm (No. 123)
One atom of each set of equivalent atoms:
Nd (0.0000, 0.0000, 0.0000) [1 per cell]
Sm (0.0000, 0.0000, 0.5000) [1 per cell]
As (0.5000, 0.5000, 0.3513) [2 per cell]
Rh (0.0000, 0.5000, 0.2347) [4 per cell]
Rh (0.5000, 0.5000, 0.0000) [1 per cell]

Summary:
- uncorrected energy (eV per atom) = -6.919
- total moment (Bohr magnetons per cell) = 0.00
- D(E_F) (states/eV per cell) = 4.227
- ΔH_f (0 K) (eV per atom) = -0.747

=====

Entry 2:
Entry from Alexandria via LeMat-Bulk: a relaxed BiP2CCl crystal (PBE).

abc: 4.1443 4.1443 5.0376
angles: 90.00 90.00 90.00
Space group P4/mmm (No. 123)
One atom of each set of equivalent atoms:
Bi (0.0000, 0.0000, 0.0000) [1 per cell]
P (0.0000, 0.5000, 0.5000) [2 per cell]
C (0.5000, 0.5000, 0.5000) [1 per cell]
Cl (0.5000, 0.5000, 0.0000) [1 per cell]

Summary:
- uncorrected energy (eV per atom) = -4.121
- total moment (Bohr magnetons per cell) = 0.00
- D(E_F) (states/eV per cell) = 2.221
- raw formation energy (eV/atom) = 1.03
- distance to the lowest polymorph of the same formula (eV/f.u.) = 0.000